1.
## CaPdS2Cl (PBEsol)

Data for an optimized crystal structure of CaPdS2Cl.

extended XYZ file:
```
5
Lattice="5.189 0.000 0.000 0.000 5.189 0.000 0.000 0.000 5.011" Properties=species:S:1:pos:R:3 pbc="T T T"
Ca 0.000 0.000 0.000
Pd 2.595 2.595 2.505
S 0.000 2.595 0.000
S 2.595 0.000 0.000
Cl 0.000 0.000 2.505
```

Values from the calculation:
Density of states at the Fermi level   6.6 states/eV/cell
ΔE_f (raw)   0.203 eV per atom
Crystal system   tetragonal
E_tot   -3.57 eV per atom
Total magnetic moment   2.39 μB/f.u.
Relative energy among the computed polymorphs   998.7 meV per atom

=====

2.
## CaPdS2Cl (PBEsol)

Data for an optimized crystal structure of CaPdS2Cl.

extended XYZ file:
```
5
Lattice="4.696 0.000 0.000 0.000 4.696 0.000 0.000 0.000 4.722" Properties=species:S:1:pos:R:3 pbc="T T T"
Ca 0.000 0.000 0.000
Pd 2.348 2.348 2.361
S 0.000 2.348 2.361
S 2.348 0.000 2.361
Cl 2.348 2.348 0.000
```

Values from the calculation:
Density of states at the Fermi level   3.5 states/eV/cell
ΔE_f (raw)   -0.795 eV per atom
Crystal system   tetragonal
E_tot   -4.57 eV per atom
Total magnetic moment   0.00 μB/f.u.
Relative energy among the computed polymorphs   0.0 meV per atom

=====

3.
## CaPdWCl2 (PBEsol)

Data for an optimized crystal structure of CaPdWCl2.

extended XYZ file:
```
5
Lattice="4.617 0.000 0.000 0.000 4.617 0.000 0.000 0.000 5.123" Properties=species:S:1:pos:R:3 pbc="T T T"
Ca 0.000 0.000 0.000
Pd 2.309 2.309 0.000
W 2.309 2.309 2.561
Cl 0.000 2.309 2.561
Cl 2.309 0.000 2.561
```

Values from the calculation:
Density of states at the Fermi level   4.2 states/eV/cell
ΔE_f (raw)   -0.052 eV per atom
Crystal system   tetragonal
E_tot   -5.24 eV per atom
Total magnetic moment   0.00 μB/f.u.

=====

4.
## Ca2PtCl (PBEsol)

Data for an optimized crystal structure of Ca2PtCl.

extended XYZ file:
```
4
Lattice="-1.798 1.851 7.411 1.798 -1.851 7.411 1.798 1.851 -7.411" Properties=species:S:1:pos:R:3 pbc="T T T"
Ca 0.000 0.000 0.000
Ca 0.000 1.851 4.092
Pt 1.798 0.000 5.352
Cl 0.000 0.000 8.991
```

Values from the calculation:
Density of states at the Fermi level   1.5 states/eV/cell
ΔE_f (raw)   -1.171 eV per atom
Crystal system   orthorhombic
E_tot   -4.48 eV per atom
Total magnetic moment   0.00 μB/f.u.
Relative energy among the computed polymorphs   111.8 meV per atom

=====

5.
## Ca2PtCl (PBEsol)

Data for an optimized crystal structure of Ca2PtCl.

extended XYZ file:
```
4
Lattice="3.599 0.000 0.000 0.000 3.479 0.000 -0.037 0.000 7.708" Properties=species:S:1:pos:R:3 pbc="T T T"
Ca 0.001 0.000 1.632
Ca 3.561 0.000 6.077
Pt 1.799 1.740 0.000
Cl -0.018 1.740 3.854
```

Values from the calculation:
Density of states at the Fermi level   1.5 states/eV/cell
ΔE_f (raw)   -1.283 eV per atom
Crystal system   monoclinic
E_tot   -4.59 eV per atom
Total magnetic moment   0.00 μB/f.u.
Relative energy among the computed polymorphs   0.0 meV per atom

=====

6.
## CaPtCl2 (PBEsol)

Data for an optimized crystal structure of CaPtCl2.

extended XYZ file:
```
4
Lattice="0.000 3.337 3.337 3.337 0.000 3.337 3.337 3.337 0.000" Properties=species:S:1:pos:R:3 pbc="T T T"
Ca 0.000 0.000 0.000
Pt 3.337 3.337 3.337
Cl 1.669 1.669 1.669
Cl 5.006 5.006 5.006
```

Values from the calculation:
Density of states at the Fermi level   2.7 states/eV/cell
ΔE_f (raw)   -0.792 eV per atom
Crystal system   cubic
E_tot   -4.07 eV per atom
Total magnetic moment   0.00 μB/f.u.
Relative energy among the computed polymorphs   0.0 meV per atom

=====

7.
## CaPtCl2 (PBEsol)

Data for an optimized crystal structure of CaPtCl2.

extended XYZ file:
```
4
Lattice="3.301 0.000 0.000 0.000 3.301 0.000 0.000 0.000 6.925" Properties=species:S:1:pos:R:3 pbc="T T T"
Ca 0.000 0.000 0.000
Pt 0.000 0.000 3.463
Cl 1.650 1.650 1.557
Cl 1.650 1.650 5.369
```

Values from the calculation:
Density of states at the Fermi level   1.1 states/eV/cell
ΔE_f (raw)   -0.629 eV per atom
Crystal system   tetragonal
E_tot   -3.91 eV per atom
Total magnetic moment   0.00 μB/f.u.
Relative energy among the computed polymorphs   162.6 meV per atom

=====

8.
## CaPt3Cl (PBEsol)

Data for an optimized crystal structure of CaPt3Cl.

extended XYZ file:
```
5
Lattice="4.925 0.000 0.000 0.000 4.925 0.000 0.000 0.000 4.925" Properties=species:S:1:pos:R:3 pbc="T T T"
Ca 0.000 0.000 0.000
Pt 0.000 0.000 2.463
Pt 0.000 2.463 0.000
Pt 2.463 0.000 0.000
Cl 2.463 2.463 2.463
```

Values from the calculation:
Density of states at the Fermi level   10.9 states/eV/cell
ΔE_f (raw)   1.610 eV per atom
Crystal system   cubic
E_tot   -3.40 eV per atom
Total magnetic moment   0.00 μB/f.u.

=====

9.
## CaSbPtCl2 (PBEsol)

Data for an optimized crystal structure of CaSbPtCl2.

extended XYZ file:
```
5
Lattice="5.286 0.000 0.000 0.000 5.286 0.000 0.000 0.000 5.020" Properties=species:S:1:pos:R:3 pbc="T T T"
Ca 0.000 0.000 0.000
Sb 2.643 2.643 2.510
Pt 2.643 2.643 0.000
Cl 0.000 2.643 2.510
Cl 2.643 0.000 2.510
```

Values from the calculation:
Density of states at the Fermi level   1.6 states/eV/cell
ΔE_f (raw)   -0.478 eV per atom
Crystal system   tetragonal
E_tot   -4.01 eV per atom
Total magnetic moment   0.00 μB/f.u.

=====

10.
## CaSiPtCl2 (PBEsol)

Data for an optimized crystal structure of CaSiPtCl2.

extended XYZ file:
```
5
Lattice="4.780 0.000 0.000 0.000 4.780 0.000 0.000 0.000 10.707" Properties=species:S:1:pos:R:3 pbc="T T T"
Ca 0.000 0.000 0.000
Si 0.000 0.000 5.353
Pt 2.390 2.390 5.353
Cl 0.000 2.390 0.000
Cl 2.390 0.000 0.000
```

Values from the calculation:
Density of states at the Fermi level   3.7 states/eV/cell
ΔE_f (raw)   0.316 eV per atom
Crystal system   tetragonal
E_tot   -3.46 eV per atom
Total magnetic moment   0.14 μB/f.u.

=====

11.
## Rb2CaCl (PBEsol)

Data for an optimized crystal structure of Rb2CaCl.

extended XYZ file:
```
4
Lattice="0.000 4.677 4.677 4.677 0.000 4.677 4.677 4.677 0.000" Properties=species:S:1:pos:R:3 pbc="T T T"
Rb 2.338 2.338 2.338
Rb 7.015 7.015 7.015
Ca 0.000 0.000 0.000
Cl 4.677 4.677 4.677
```

Values from the calculation:
Density of states at the Fermi level   4.0 states/eV/cell
ΔE_f (raw)   -0.294 eV per atom
Crystal system   cubic
E_tot   -1.84 eV per atom
Total magnetic moment   0.80 μB/f.u.

=====

12.
## Rb3Ca2Cl7 (PBEsol)

Data for an optimized crystal structure of Rb3Ca2Cl7.

extended XYZ file:
```
12
Lattice="-2.656 2.656 13.385 2.656 -2.656 13.385 2.656 2.656 -13.385" Properties=species:S:1:pos:R:3 pbc="T T T"
Rb 0.000 0.000 0.000
Rb 0.000 0.000 4.876
Rb 0.000 0.000 21.893
Ca 0.000 0.000 10.688
Ca 0.000 0.000 16.081
Cl 2.656 0.000 2.578
Cl 0.000 0.000 8.048
Cl 2.656 0.000 10.806
Cl 0.000 0.000 13.385
Cl 0.000 2.656 2.578
Cl 0.000 0.000 18.721
Cl 0.000 2.656 10.806
```

Values from the calculation:
Density of states at the Fermi level   0.0 states/eV/cell
ΔE_f (raw)   -2.181 eV per atom
Crystal system   tetragonal
E_tot   -3.96 eV per atom
Total magnetic moment   0.00 μB/f.u.

=====

13.
## CaReCl4 (PBEsol)

Data for an optimized crystal structure of CaReCl4.

extended XYZ file:
```
6
Lattice="0.000 4.129 4.129 4.129 0.000 4.129 4.129 4.129 0.000" Properties=species:S:1:pos:R:3 pbc="T T T"
Ca 0.000 0.000 0.000
Re 6.194 6.194 6.194
Cl 3.096 3.096 3.096
Cl 5.162 5.162 3.096
Cl 5.162 3.096 5.162
Cl 3.096 5.162 5.162
```

Values from the calculation:
Density of states at the Fermi level   4.9 states/eV/cell
ΔE_f (raw)   0.626 eV per atom
Crystal system   cubic
E_tot   -3.29 eV per atom
Total magnetic moment   4.78 μB/f.u.

=====

14.
## CaReCl2 (PBEsol)

Data for an optimized crystal structure of CaReCl2.

extended XYZ file:
```
4
Lattice="-1.850 1.850 5.795 1.850 -1.850 5.795 1.850 1.850 -5.795" Properties=species:S:1:pos:R:3 pbc="T T T"
Ca 0.000 0.000 0.000
Re 1.850 0.000 2.898
Cl 0.000 0.000 5.795
Cl 0.000 1.850 2.898
```

Values from the calculation:
Density of states at the Fermi level   2.6 states/eV/cell
ΔE_f (raw)   0.177 eV per atom
Crystal system   tetragonal
E_tot   -4.69 eV per atom
Total magnetic moment   2.61 μB/f.u.
Relative energy among the computed polymorphs   396.1 meV per atom

=====

15.
## CaReCl2 (PBEsol)

Data for an optimized crystal structure of CaReCl2.

extended XYZ file:
```
4
Lattice="-1.768 2.392 5.284 1.768 -2.392 5.284 1.768 2.392 -5.284" Properties=species:S:1:pos:R:3 pbc="T T T"
Ca 0.000 0.000 0.000
Re 0.000 0.000 5.284
Cl 1.768 0.000 3.667
Cl 0.000 2.392 1.617
```

Values from the calculation:
Density of states at the Fermi level   1.8 states/eV/cell
ΔE_f (raw)   -0.219 eV per atom
Crystal system   orthorhombic
E_tot   -5.09 eV per atom
Total magnetic moment   0.58 μB/f.u.
Relative energy among the computed polymorphs   0.0 meV per atom

=====

16.
## Ca3RhCl (PBEsol)

Data for an optimized crystal structure of Ca3RhCl.

extended XYZ file:
```
5
Lattice="5.405 0.000 0.000 0.000 5.405 0.000 0.000 0.000 5.405" Properties=species:S:1:pos:R:3 pbc="T T T"
Ca 0.000 0.000 2.702
Ca 0.000 2.702 0.000
Ca 2.702 0.000 0.000
Rh 0.000 0.000 0.000
Cl 2.702 2.702 2.702
```

Values from the calculation:
Density of states at the Fermi level   3.4 states/eV/cell
ΔE_f (raw)   -0.507 eV per atom
Crystal system   cubic
E_tot   -3.82 eV per atom
Total magnetic moment   0.00 μB/f.u.
Relative energy among the computed polymorphs   0.0 meV per atom

=====

17.
## CaRhCl2 (PBEsol)

Data for an optimized crystal structure of CaRhCl2.

extended XYZ file:
```
4
Lattice="3.425 0.000 0.000 0.000 3.425 0.000 0.000 0.000 6.892" Properties=species:S:1:pos:R:3 pbc="T T T"
Ca 0.000 0.000 0.000
Rh 1.713 1.713 4.665
Cl 0.000 0.000 4.277
Cl 1.713 1.713 1.370
```

Values from the calculation:
Density of states at the Fermi level   1.5 states/eV/cell
ΔE_f (raw)   -0.893 eV per atom
Crystal system   tetragonal
E_tot   -4.46 eV per atom
Total magnetic moment   0.00 μB/f.u.

=====

18.
## CaRh2Cl (PBEsol)

Data for an optimized crystal structure of CaRh2Cl.

extended XYZ file:
```
4
Lattice="3.679 -1.793 0.000 3.679 1.793 0.000 -2.134 0.000 6.325" Properties=species:S:1:pos:R:3 pbc="T T T"
Ca 0.000 0.000 0.000
Rh 2.226 0.000 1.897
Rh 4.482 0.000 2.576
Cl 0.175 0.000 4.678
```

Values from the calculation:
Density of states at the Fermi level   4.5 states/eV/cell
ΔE_f (raw)   -0.239 eV per atom
Crystal system   monoclinic
E_tot   -5.34 eV per atom
Total magnetic moment   0.05 μB/f.u.
Relative energy among the computed polymorphs   141.4 meV per atom

=====

19.
## CaRh2Cl (PBEsol)

Data for an optimized crystal structure of CaRh2Cl.

extended XYZ file:
```
4
Lattice="3.330 0.000 0.000 0.000 3.330 0.000 0.000 0.000 7.033" Properties=species:S:1:pos:R:3 pbc="T T T"
Ca 0.000 0.000 0.000
Rh 0.000 0.000 4.131
Rh 1.665 1.665 4.957
Cl 1.665 1.665 1.459
```

Values from the calculation:
Density of states at the Fermi level   3.8 states/eV/cell
ΔE_f (raw)   -0.381 eV per atom
Crystal system   tetragonal
E_tot   -5.49 eV per atom
Total magnetic moment   0.74 μB/f.u.
Relative energy among the computed polymorphs   0.0 meV per atom

=====

20.
## CaRuCl2 (PBEsol)

Data for an optimized crystal structure of CaRuCl2.

extended XYZ file:
```
4
Lattice="3.381 0.000 0.000 0.000 3.381 0.000 0.000 0.000 6.308" Properties=species:S:1:pos:R:3 pbc="T T T"
Ca 0.000 0.000 0.000
Ru 0.000 0.000 3.154
Cl 1.690 1.690 1.568
Cl 1.690 1.690 4.740
```

Values from the calculation:
Density of states at the Fermi level   3.9 states/eV/cell
ΔE_f (raw)   -0.231 eV per atom
Crystal system   tetragonal
E_tot   -4.31 eV per atom
Total magnetic moment   2.04 μB/f.u.